# 1
First-principles (PBE) data for crystalline TcOsPb4 at its relaxed geometry, as listed in the Alexandria database.

a b c (Å): 6.1357 6.1357 6.1357
angles (deg): 60.00 60.00 60.00
Last column: nearest neighbours and their distance in Å.
Positions (direct):
Tc 0.7500 0.7500 0.7500  12 Pb 3.60, 4 Os 3.76
Os 0.0000 0.0000 0.0000  12 Pb 3.60, 4 Tc 3.76
Pb 0.8754 0.3749 0.3749  6 Pb 3.06-3.07
Pb 0.3749 0.3749 0.8754  6 Pb 3.06-3.07
Pb 0.3749 0.8754 0.3749  6 Pb 3.06-3.07
Pb 0.3749 0.3749 0.3749  6 Pb 3.06-3.07

Space group   F-43m
Energy relative to the elements   1.6104 eV/atom
Density   11.36 Mg/m³

---

# 2
First-principles (PBE) data for crystalline TcOs2Pb at its relaxed geometry, as listed in the Alexandria database.

a b c (Å): 4.8998 4.8998 4.9534
angles (deg): 81.29 81.29 34.68
Last column: nearest neighbours and their distance in Å.
Positions (direct):
Os 0.9853 0.9853 0.0364  4 Os 2.62-2.92, 3 Tc 2.71-2.84, 1 Pb 2.80
Os 0.5147 0.5147 0.4636  4 Os 2.62-2.92, 3 Tc 2.71-2.84, 1 Pb 2.80
Pb 0.7500 0.7500 0.7500  6 Os 2.80-3.03, 4 Tc 2.88, 2 Pb 2.92
Tc 0.2500 0.2500 0.2500  6 Os 2.71-2.84, 4 Pb 2.88, 2 Tc 2.92

Space group   C2/m
Energy relative to the elements   0.7294 eV/atom
Density   17.04 Mg/m³

---

# 3
First-principles (PBE) data for crystalline TcOsPb at its relaxed geometry, as listed in the Alexandria database.

a b c (Å): 4.3919 4.3919 4.3919
angles (deg): 60.00 60.00 60.00
Last column: nearest neighbours and their distance in Å.
Positions (direct):
Os 0.2500 0.2500 0.2500  4 Pb 2.69, 4 Tc 2.69
Pb 0.0000 0.0000 0.0000  4 Os 2.69
Tc 0.5000 0.5000 0.5000  4 Os 2.69

Space group   F-43m
Energy relative to the elements   0.7455 eV/atom
Energy above the most stable polymorph in this dataset   61.8 kJ/mol of formula units
Density   13.73 Mg/m³

---

# 4
First-principles (PBE) data for crystalline TcOs2Pb at its relaxed geometry, as listed in the Alexandria database.

a b c (Å): 2.9419 2.9419 7.7272
angles (deg): 90.00 90.00 90.00
Last column: nearest neighbours and their distance in Å.
Positions (direct):
Os 0.0000 0.0000 0.9702  4 Tc 2.69, 4 Os 2.94, 4 Pb 3.00
Os 0.0000 0.0000 0.5298  4 Tc 2.69, 4 Os 2.94, 4 Pb 3.00
Pb 0.5000 0.5000 0.2500  4 Pb 2.94, 8 Os 3.00
Tc 0.5000 0.5000 0.7500  8 Os 2.69, 4 Tc 2.94

Space group   P4/mmm
Energy relative to the elements   0.6432 eV/atom
Density   17.02 Mg/m³

---

# 5
First-principles (PBE) data for crystalline TcOs2Pb at its relaxed geometry, as listed in the Alexandria database.

a b c (Å): 4.8113 4.8113 5.1772
angles (deg): 79.20 79.20 35.37
Last column: nearest neighbours and their distance in Å.
Positions (direct):
Os 0.9997 0.9997 0.9829  5 Os 2.64-2.92, 3 Tc 2.70-2.90, 2 Pb 2.93
Os 0.7382 0.7382 0.8085  2 Tc 2.61, 5 Os 2.64-2.92
Pb 0.4999 0.4999 0.4921  3 Tc 2.83-2.93, 2 Pb 2.92, 7 Os 2.93-3.01
Tc 0.2622 0.2622 0.2165  5 Os 2.61-2.90, 1 Pb 2.83, 2 Tc 2.92

Space group   Cm
Energy relative to the elements   0.7230 eV/atom
Density   16.74 Mg/m³

---

# 6
First-principles (PBE) data for crystalline TcOs2Pb at its relaxed geometry, as listed in the Alexandria database.

a b c (Å): 5.9778 5.9778 6.9815
angles (deg): 64.65 64.65 90.00
Last column: nearest neighbours and their distance in Å.
Positions (direct):
Pb 0.0000 0.0000 0.0000  4 Os 2.69
Pb 0.7500 0.2500 0.5000  4 Os 2.69
Os 0.5807 0.1250 0.2500  2 Tc 2.38
Os 0.1693 0.6250 0.2500  2 Tc 2.38
Os 0.3750 0.4193 0.7500  2 Tc 2.38
Os 0.8750 0.8307 0.7500  2 Tc 2.38
Tc 0.5000 0.5000 0.0000  4 Os 2.38
Tc 0.2500 0.7500 0.5000  4 Os 2.38

Space group   I-42d
Energy relative to the elements   1.4683 eV/atom
Density   11.47 Mg/m³

---

# 7
First-principles (PBE) data for crystalline TcOs2Pb at its relaxed geometry, as listed in the Alexandria database.

a b c (Å): 4.9672 4.9672 4.9672
angles (deg): 132.50 132.50 69.44
Last column: nearest neighbours and their distance in Å.
Positions (direct):
Os 0.0000 0.0000 0.0000  4 Pb 2.83, 4 Tc 2.86, 4 Os 2.86
Os 0.2500 0.7500 0.5000  4 Tc 2.83, 4 Pb 2.86, 4 Os 2.86
Pb 0.5000 0.5000 0.0000  8 Os 2.83-2.86, 4 Tc 2.86
Tc 0.7500 0.2500 0.5000  8 Os 2.83-2.86, 4 Pb 2.86

Space group   I-4m2
Energy relative to the elements   0.8365 eV/atom
Density   17.42 Mg/m³

---

# 8
First-principles (PBE) data for crystalline Tc3OsPb at its relaxed geometry, as listed in the Alexandria database.

a b c (Å): 4.7687 4.7687 4.7687
angles (deg): 90.00 90.00 90.00
Last column: nearest neighbours and their distance in Å.
Positions (direct):
Pb 0.5000 0.5000 0.5000  12 Tc 3.37
Os 0.0000 0.0000 0.0000  6 Tc 2.38
Tc 0.0000 0.5000 0.0000  2 Os 2.38
Tc 0.0000 0.0000 0.5000  2 Os 2.38
Tc 0.5000 0.0000 0.0000  2 Os 2.38

Space group   Pm-3m
Energy relative to the elements   1.5337 eV/atom
Energy above the most stable polymorph in this dataset   0.0 kJ/mol of formula units
Density   10.59 Mg/m³

---

# 9
First-principles (PBE) data for crystalline TcOs2Pb at its relaxed geometry, as listed in the Alexandria database.

a b c (Å): 3.6990 2.8371 7.0463
angles (deg): 75.94 90.00 90.00
Last column: nearest neighbours and their distance in Å.
Positions (direct):
Os 0.0000 0.1371 0.9409  3 Os 2.61-2.84, 4 Tc 2.67
Os 0.0000 0.3629 0.5591  3 Os 2.61-2.84, 4 Tc 2.67
Pb 0.5000 0.2500 0.2500  2 Pb 2.84, 4 Os 2.93
Tc 0.5000 0.7500 0.7500  8 Os 2.67, 2 Tc 2.84

Space group   P2/m
Energy relative to the elements   0.7260 eV/atom
Density   15.87 Mg/m³

---

# 10
First-principles (PBE) data for crystalline TcOs2Pb at its relaxed geometry, as listed in the Alexandria database.

a b c (Å): 4.6613 4.6613 3.0735
angles (deg): 90.00 90.00 90.00
Last column: nearest neighbours and their distance in Å.
Positions (direct):
Os 0.0000 0.0000 0.0000  4 Pb 2.79, 4 Tc 2.79, 2 Os 3.07
Os 0.5000 0.5000 0.0000  4 Pb 2.79, 4 Tc 2.79, 2 Os 3.07
Pb 0.5000 0.0000 0.5000  8 Os 2.79, 2 Pb 3.07
Tc 0.0000 0.5000 0.5000  8 Os 2.79, 2 Tc 3.07

Space group   P4/mmm
Energy relative to the elements   1.0084 eV/atom
Density   17.05 Mg/m³

---

# 11
First-principles (PBE) data for crystalline TcOs2Pb at its relaxed geometry, as listed in the Alexandria database.

a b c (Å): 4.8767 4.8767 2.9342
angles (deg): 90.00 90.00 109.24
Last column: nearest neighbours and their distance in Å.
Positions (direct):
Os 0.0000 0.0000 0.0000  4 Os 2.82-2.93, 4 Tc 2.85, 4 Pb 2.85
Os 0.5000 0.5000 0.0000  4 Os 2.82-2.93, 4 Pb 2.85, 4 Tc 2.85
Pb 0.5000 0.0000 0.5000  2 Tc 2.82, 8 Os 2.85, 2 Pb 2.93
Tc 0.0000 0.5000 0.5000  2 Pb 2.82, 8 Os 2.85, 2 Tc 2.93

Space group   Cmmm
Energy relative to the elements   0.9183 eV/atom
Density   17.28 Mg/m³

---

# 12
First-principles (PBE) data for crystalline TcOs2Pb at its relaxed geometry, as listed in the Alexandria database.

a b c (Å): 4.5341 4.5341 4.5341
angles (deg): 60.00 60.00 60.00
Last column: nearest neighbours and their distance in Å.
Positions (direct):
Os 0.0000 0.0000 0.0000  4 Tc 2.78, 4 Os 2.78
Os 0.2500 0.2500 0.2500  4 Pb 2.78, 4 Os 2.78
Pb 0.5000 0.5000 0.5000  4 Tc 2.78, 4 Os 2.78
Tc 0.7500 0.7500 0.7500  4 Os 2.78, 4 Pb 2.78

Space group   F-43m
Energy relative to the elements   0.9231 eV/atom
Density   17.27 Mg/m³

---

# 13
First-principles (PBE) data for crystalline TcOs2Pb at its relaxed geometry, as listed in the Alexandria database.

a b c (Å): 2.8462 2.8462 9.9315
angles (deg): 90.00 90.00 118.49
Last column: nearest neighbours and their distance in Å.
Positions (direct):
Os 0.0000 0.0000 0.9669  2 Tc 2.60, 6 Os 2.85-2.91
Os 0.0000 0.0000 0.5331  2 Tc 2.60, 6 Os 2.85-2.91
Pb 0.5000 0.5000 0.2500  6 Pb 2.85-2.91, 4 Os 3.17
Tc 0.5000 0.5000 0.7500  4 Os 2.60, 6 Tc 2.85-2.91

Space group   Cmmm
Energy relative to the elements   0.9969 eV/atom
Density   16.10 Mg/m³

---

# 14
First-principles (PBE) data for crystalline TcOs2Pb at its relaxed geometry, as listed in the Alexandria database.

a b c (Å): 2.8420 3.6868 6.7082
angles (deg): 90.00 90.00 90.00
Last column: nearest neighbours and their distance in Å.
Positions (direct):
Os 0.0000 0.0000 0.9468  3 Os 2.64-2.84, 4 Tc 2.68
Os 0.0000 0.0000 0.5532  3 Os 2.64-2.84, 4 Tc 2.68
Pb 0.5000 0.5000 0.2500  2 Pb 2.84, 8 Os 3.09
Tc 0.5000 0.5000 0.7500  8 Os 2.68, 2 Tc 2.84

Space group   Pmmm
Energy relative to the elements   0.7337 eV/atom
Density   16.20 Mg/m³

---

# 15
First-principles (PBE) data for crystalline TcOs2Pb at its relaxed geometry, as listed in the Alexandria database.

a b c (Å): 9.8244 9.8244 9.8244
angles (deg): 16.79 16.79 16.79
Last column: nearest neighbours and their distance in Å.
Positions (direct):
Os 0.0111 0.0111 0.0111  3 Tc 2.67, 6 Os 2.87
Os 0.4889 0.4889 0.4889  3 Tc 2.67, 6 Os 2.87
Pb 0.2500 0.2500 0.2500  6 Pb 2.87, 6 Os 3.21
Tc 0.7500 0.7500 0.7500  6 Os 2.67, 6 Tc 2.87

Space group   R-3m
Energy relative to the elements   0.6797 eV/atom
Density   16.50 Mg/m³

---

# 16
First-principles (PBE) data for crystalline TcOsPb at its relaxed geometry, as listed in the Alexandria database.

a b c (Å): 6.4986 6.4987 2.9872
angles (deg): 76.71 76.71 26.57
Last column: nearest neighbours and their distance in Å.
Positions (direct):
Os 0.9765 0.9765 0.0235  4 Tc 2.58
Pb 0.6671 0.6671 0.3329  4 Pb 2.99, 4 Tc 3.14, 4 Os 3.15
Tc 0.3563 0.3563 0.6437  4 Os 2.58

Space group   I4mm
Energy relative to the elements   0.5320 eV/atom
Energy above the most stable polymorph in this dataset   0.0 kJ/mol of formula units
Density   15.00 Mg/m³

---

# 17
First-principles (PBE) data for crystalline Tc2Os4Pb at its relaxed geometry, as listed in the Alexandria database.

a b c (Å): 4.9023 4.9023 7.2331
angles (deg): 70.19 70.19 90.00
Last column: nearest neighbours and their distance in Å.
Positions (direct):
Pb 0.0000 0.0000 0.0000  4 Os 2.45
Os 0.7767 0.7767 0.4466  1 Tc 2.22
Os 0.2233 0.2233 0.5534  1 Tc 2.22
Os 0.0000 0.5000 0.0000  2 Pb 2.45
Os 0.5000 0.0000 0.0000  2 Pb 2.45
Tc 0.6016 0.6016 0.7967  1 Os 2.22
Tc 0.3984 0.3984 0.2033  1 Os 2.22

Space group   I4/mmm
Energy relative to the elements   2.5287 eV/atom
Density   12.67 Mg/m³

---

# 18
First-principles (PBE) data for crystalline TcOs2Pb at its relaxed geometry, as listed in the Alexandria database.

a b c (Å): 6.4192 6.4192 6.4192
angles (deg): 154.36 140.80 47.43
Last column: nearest neighbours and their distance in Å.
Positions (direct):
Os 0.9602 0.9602 0.0000  2 Os 2.54, 4 Pb 2.77
Os 0.7816 0.2816 0.5000  2 Os 2.54, 4 Tc 2.71
Pb 0.5466 0.5466 0.0000  6 Os 2.77-3.11, 2 Pb 2.85, 2 Tc 2.90
Tc 0.2117 0.7117 0.5000  4 Os 2.71, 2 Tc 2.85, 2 Pb 2.90

Space group   Imm2
Energy relative to the elements   0.8581 eV/atom
Density   15.79 Mg/m³

---

# 19
First-principles (PBE) data for crystalline Te2OsPb at its relaxed geometry, as listed in the Alexandria database.

a b c (Å): 7.2665 7.2665 7.2665
angles (deg): 153.86 141.84 46.84
Last column: nearest neighbours and their distance in Å.
Positions (direct):
Os 0.5190 0.5190 0.0000  6 Te 2.66-2.92
Pb 0.3204 0.8204 0.5000  2 Os 3.12, 6 Te 3.23-3.47, 2 Pb 3.29
Te 0.9847 0.9847 0.0000  4 Os 2.92, 2 Pb 3.23
Te 0.6758 0.1758 0.5000  2 Os 2.66

Space group   Imm2
Density   10.41 Mg/m³
Energy   -4.9102 eV per atom

---

# 20
First-principles (PBE) data for crystalline TeOsPb at its relaxed geometry, as listed in the Alexandria database.

a b c (Å): 6.5308 3.3059 7.7265
angles (deg): 90.00 111.49 90.00
Last column: nearest neighbours and their distance in Å.
Positions (direct):
Pb 0.6755 0.0000 0.8958  3 Os 2.88-2.92
Pb 0.1374 0.5000 0.8068  3 Os 2.96, 2 Pb 3.31
Te 0.0838 0.0000 0.4080  3 Os 2.67-2.71
Te 0.5415 0.5000 0.2923  3 Os 2.63-2.64
Os 0.4176 0.5000 0.5802  3 Te 2.63-2.67, 2 Os 2.88, 2 Pb 2.92
Os 0.7700 0.0000 0.5600  3 Te 2.64-2.71, 1 Pb 2.88, 2 Os 2.88

Space group   Pm
Energy above the most stable polymorph in this dataset   11.4 kJ/mol of formula units
Density   11.23 Mg/m³